Crystalline Ga2TcTe at its relaxed geometry, computed with PBE-GGA.

a = 4.6895 Å, b = 4.6895 Å, c = 4.6895 Å
α = 60.00°, β = 60.00°, γ = 60.00°
Last column: nearest neighbours and their distance in Å.
Positions (direct):
Ga 0.0000 0.0000 0.0000  4 Tc 2.87, 4 Ga 2.87
Ga 0.2500 0.2500 0.2500  4 Te 2.87, 4 Ga 2.87
Tc 0.7500 0.7500 0.7500  4 Te 2.87, 4 Ga 2.87
Te 0.5000 0.5000 0.5000  4 Tc 2.87, 4 Ga 2.87

E (eV per atom): -4.499
M_tot (μB per cell): 0.43